Entry 1:
VASP calculation (PBE) on a relaxed structure of Sc2BiSb.

Cell: 4.2062 4.2062 21.1716 Å, 90.00 90.00 120.00°
With the nearest neighbours (Å) after each atom.
Space group R3m (No. 160, hexagonal axes)
Asymmetric unit:
Sc 0.0000 0.0000 0.0000  3 Sb 2.98, 3 Bi 3.07
Sc 0.0000 0.0000 0.1750  3 Sb 2.92, 3 Bi 3.03
Bi 0.0000 0.0000 0.7557  6 Sc 3.03-3.07
Sb 0.0000 0.0000 0.5850  6 Sc 2.92-2.98

Output
Calculated volume = 324.4 Å³/cell
Fermi-level density of states = 2.9 states/eV per cell
Energy = -5.89 eV/atom
Theoretical density = 6.5 g/cm3

***

Entry 2:
VASP calculation (PBE) on a relaxed structure of Sc2BiSb.

Cell: 8.4463 7.3025 7.0082 Å, 90.00 90.00 90.00°
With the nearest neighbours (Å) after each atom.
Space group Pbcm (No. 57)
Asymmetric unit:
Sc 0.1176 0.2500 0.0000  4 Sb 2.97-2.98, 2 Bi 3.04
Sc 0.3674 0.7500 0.0000  2 Sb 2.97, 4 Bi 3.02-3.04
Bi 0.3751 0.0870 0.2500  6 Sc 3.02-3.04
Sb 0.1250 0.5802 0.2500  6 Sc 2.97-2.98

Output
Calculated volume = 432.3 Å³/cell
Fermi-level density of states = 3.9 states/eV per cell
Energy = -5.97 eV/atom
Theoretical density = 6.5 g/cm3

***

Entry 3:
VASP calculation (PBE) on a relaxed structure of Sc7Bi2Sb2.

Cell: 9.0156 10.3523 6.5230 Å, 90.00 90.00 90.00°
With the nearest neighbours (Å) after each atom.
Space group Cmmm (No. 65)
Asymmetric unit:
Sc 0.0000 0.0000 0.0000  2 Sb 2.85
Sc 0.0000 0.5000 0.2624  2 Sb 2.89, 1 Sc 3.10, 2 Bi 3.14
Sc 0.2500 0.2500 0.2652  2 Sb 2.85, 2 Bi 3.04, 1 Sc 3.06
Bi 0.1970 0.0000 0.5000  6 Sc 3.04-3.14
Sb 0.0000 0.2752 0.0000  7 Sc 2.85-2.89

Output
Calculated volume = 608.8 Å³/cell
Fermi-level density of states = 24.5 states/eV per cell
Energy = -5.85 eV/atom
Theoretical density = 5.3 g/cm3

***

Entry 4:
VASP calculation (PBE) on a relaxed structure of Sc2BiSb.

Cell: 6.7816 6.7816 12.9069 Å, 90.00 90.00 90.00°
With the nearest neighbours (Å) after each atom.
Space group I-42d (No. 122)
Asymmetric unit:
Sc 0.2419 0.2500 0.1250  2 Sb 2.86, 2 Bi 2.92
Bi 0.0000 0.0000 0.5000  4 Sc 2.92
Sb 0.0000 0.0000 0.0000  4 Sc 2.86

Output
Calculated volume = 593.6 Å³/cell
Fermi-level density of states = 0.0 states/eV per cell
Energy = -5.49 eV/atom
Theoretical density = 4.7 g/cm3

***

Entry 5:
VASP calculation (PBE) on a relaxed structure of Sc10Bi3Sb3.

Cell: 8.5639 8.5639 5.9808 Å, 90.00 90.00 120.00°
With the nearest neighbours (Å) after each atom.
Space group P-62m (No. 189)
Asymmetric unit:
Sc 0.0000 0.2448 0.0000  3 Sb 2.90-3.16, 2 Bi 3.24
Sc 0.0000 0.7573 0.5000  3 Bi 2.92-3.15, 2 Sb 3.23
Sc 0.3333 0.6667 0.2447  2 Sc 2.93-3.05, 3 Sb 3.03, 3 Bi 3.06
Bi 0.0000 0.3899 0.5000  9 Sc 2.92-3.24
Sb 0.0000 0.6141 0.0000  9 Sc 2.90-3.23

Output
Calculated volume = 379.9 Å³/cell
Fermi-level density of states = 14.4 states/eV per cell
Energy = -6.17 eV/atom
Theoretical density = 6.3 g/cm3

***

Entry 6:
VASP calculation (PBE) on a relaxed structure of Sc2BiSb2.

Cell: 8.3213 8.3213 3.7730 Å, 90.00 90.00 90.00°
With the nearest neighbours (Å) after each atom.
Space group P4/mbm (No. 127)
Asymmetric unit:
Sc 0.1450 0.3550 0.0000  6 Sb 3.07-3.09, 1 Sc 3.41
Bi 0.0000 0.0000 0.5000  4 Sb 3.17
Sb 0.1495 0.6495 0.5000  6 Sc 3.07-3.09, 2 Bi 3.17

Output
Calculated volume = 261.3 Å³/cell
Fermi-level density of states = 9.4 states/eV per cell
Energy = -5.44 eV/atom
Theoretical density = 6.9 g/cm3

***

Entry 7:
VASP calculation (PBE) on a relaxed structure of Sc2BiSb2.

Cell: 7.9623 7.9623 3.9899 Å, 90.00 90.00 90.00°
With the nearest neighbours (Å) after each atom.
Space group P4/mbm (No. 127)
Asymmetric unit:
Sc 0.1503 0.3497 0.0000  6 Sb 2.98-3.13, 2 Bi 3.03
Bi 0.0000 0.0000 0.0000  4 Sc 3.03
Sb 0.1534 0.6534 0.5000  6 Sc 2.98-3.13

Output
Calculated volume = 253.0 Å³/cell
Fermi-level density of states = 4.3 states/eV per cell
Energy = -5.52 eV/atom
Theoretical density = 7.1 g/cm3

***

Entry 8:
VASP calculation (PBE) on a relaxed structure of ScBi3Sb.

Cell: 5.7622 5.7622 5.7622 Å, 90.00 90.00 90.00°
With the nearest neighbours (Å) after each atom.
Space group Pm-3m (No. 221)
Asymmetric unit:
Sc 0.0000 0.0000 0.0000  12 Bi 4.07
Bi 0.0000 0.5000 0.5000  2 Sb 2.88
Sb 0.5000 0.5000 0.5000  6 Bi 2.88

Output
Calculated volume = 191.3 Å³/cell
Fermi-level density of states = 5.1 states/eV per cell
Energy = -3.71 eV/atom
Theoretical density = 6.9 g/cm3

***

Entry 9:
VASP calculation (PBE) on a relaxed structure of Sc4BiSb2.

Cell: 8.7920 8.7920 8.7271 Å, 90.00 90.00 90.00°
With the nearest neighbours (Å) after each atom.
Space group I-42d (No. 122)
Asymmetric unit:
Sc 0.0768 0.1699 0.3051  4 Sb 2.92-3.11, 2 Bi 3.02-3.13
Bi 0.0000 0.0000 0.0000  8 Sc 3.02-3.13
Sb 0.1293 0.2500 0.6250  8 Sc 2.92-3.11

Output
Calculated volume = 674.6 Å³/cell
Fermi-level density of states = 37.3 states/eV per cell
Energy = -6.14 eV/atom
Theoretical density = 6.2 g/cm3

***

Entry 10:
VASP calculation (PBE) on a relaxed structure of Sc4BiSb2Se.

Cell: 7.1275 4.1223 7.1474 Å, 90.00 109.35 90.00°
With the nearest neighbours (Å) after each atom.
Space group P2/m (No. 10)
Asymmetric unit:
Sc 0.2459 0.0000 0.2408  2 Se 2.88, 3 Sb 2.88-2.96, 1 Bi 2.94
Sc 0.2509 0.5000 0.7598  1 Se 2.86, 3 Sb 2.89-2.96, 2 Bi 2.95
Bi 0.0000 0.0000 0.5000  6 Sc 2.94-2.95
Sb 0.5000 0.0000 0.0000  6 Sc 2.88-2.89
Sb 0.5000 0.5000 0.5000  6 Sc 2.96
Se 0.0000 0.5000 0.0000  6 Sc 2.86-2.88

Output
Calculated volume = 198.1 Å³/cell
Fermi-level density of states = 1.8 states/eV per cell
Energy = -6.14 eV/atom
Theoretical density = 6.0 g/cm3

***

Entry 11:
VASP calculation (PBE) on a relaxed structure of Sc6Bi2SbSe3.

Cell: 17.7670 4.0180 8.1602 Å, 90.00 104.64 90.00°
With the nearest neighbours (Å) after each atom.
Space group C2/m (No. 12)
Asymmetric unit:
Sc 0.0061 0.0000 0.2436  3 Se 2.77-2.81, 2 Sb 2.92, 1 Bi 2.99
Sc 0.1592 0.5000 0.1003  3 Se 2.74-2.76, 3 Bi 2.98-2.99
Sc 0.1697 0.5000 0.5680  3 Se 2.76-2.80, 1 Sb 2.92, 2 Bi 2.98
Bi 0.1674 0.0000 0.8360  6 Sc 2.98-2.99
Sb 0.0000 0.5000 0.5000  6 Sc 2.92
Se 0.0000 0.5000 0.0000  6 Sc 2.74-2.81
Se 0.1674 0.0000 0.3353  6 Sc 2.76-2.80

Output
Calculated volume = 563.6 Å³/cell
Fermi-level density of states = 12.8 states/eV per cell
Energy = -6.19 eV/atom
Theoretical density = 6.2 g/cm3

***

Entry 12:
VASP calculation (PBE) on a relaxed structure of Sc4Bi2SbSe.

Cell: 7.1647 4.1372 7.1981 Å, 90.00 109.28 90.00°
With the nearest neighbours (Å) after each atom.
Space group P2/m (No. 10)
Asymmetric unit:
Sc 0.2390 0.0000 0.2335  2 Se 2.85, 1 Sb 2.90, 3 Bi 2.96-3.01
Sc 0.2478 0.5000 0.7633  1 Se 2.84, 2 Sb 2.90, 3 Bi 2.97-3.02
Bi 0.0000 0.0000 0.5000  6 Sc 2.96-2.97
Bi 0.5000 0.5000 0.5000  6 Sc 3.01-3.02
Sb 0.5000 0.0000 0.0000  6 Sc 2.90
Se 0.0000 0.5000 0.0000  6 Sc 2.84-2.85

Output
Calculated volume = 201.4 Å³/cell
Fermi-level density of states = 2.1 states/eV per cell
Energy = -6.04 eV/atom
Theoretical density = 6.6 g/cm3